# 1
DFT (PBE) results for an optimized crystal structure of OsRhS.

Values from the calculation:
space-group type	No. 187
uncorrected formation energy	0.230	eV/atom
magnetization	0.000	μB/f.u.

POSCAR file:
```
OsRhS
1.0
-1.128 -2.138 1.529
2.574 -0.308 -1.208
5.106 4.303 9.785
Os S Rh
2 2 2
Cartesian
1.788 -1.225 -0.394
4.339 0.928 4.499
2.311 -0.351 3.890
3.899 0.987 6.932
4.638 3.226 7.933
1.363 0.465 1.655
```

---

# 2
DFT (PBE) results for an optimized crystal structure of Th4OsRh2S.

Values from the calculation:
space-group type	No. 10
uncorrected formation energy	-0.933	eV/atom
magnetization	0.000	μB/f.u.

POSCAR file:
```
Th4OsRh2S
1.0
4.091 0.000 0.000
0.000 7.178 -0.194
0.000 2.480 6.743
Th Os Rh S
4 1 2 1
Cartesian
0.000 7.258 4.969
4.091 2.400 1.580
2.045 6.005 1.450
2.045 3.653 5.100
2.045 3.589 -0.097
0.000 2.480 6.743
2.045 1.240 3.372
0.000 4.829 3.275
```